DFT (PBE-GGA) results for a relaxed Pm2ErHf crystal.

Summary:
Formation energy (eV/atom): 0.16
Offset from the most stable computed form (meV per atom): 7.8

The structure in CIF format:
```
data_Pm2ErHf
_chemical_formula_sum 'Pm2 Er1 Hf1'
_cell_length_a 4.930
_cell_length_b 4.930
_cell_length_c 4.840
_cell_angle_alpha 90.00
_cell_angle_beta 90.00
_cell_angle_gamma 90.00
_symmetry_space_group_name_H-M 'P 4/m m m'
_symmetry_Int_Tables_number 123
_symmetry_space_group_name_Hall '-P 4 2'
loop_
_atom_site_label
_atom_site_type_symbol
_atom_site_fract_x
_atom_site_fract_y
_atom_site_fract_z
_atom_site_occupancy
Pm1 Pm 0.000 0.500 0.000 1
Er1 Er 0.000 0.000 0.500 1
Hf1 Hf 0.500 0.500 0.500 1
```